No. 1
HgHCl | GGA-PBE | relaxed

Results
Volume in Å³/f.u.: 80
DFT total energy in eV/atom: -2.084
Space-group type: P-1 (2)
ρ in g cm⁻³: 4.90

```
HgHCl
1.0
-2.0837 0.4632 3.8937
3.4153 -3.3410 2.5548
0.5016 8.5384 -0.9863
Cl H Hg
2 2 2
Direct
0.7417 0.4358 0.8959 Cl
0.0766 0.6679 0.3929 Cl
0.4764 0.2510 0.3977 H
0.3421 0.8531 0.8912 H
0.7120 0.0104 0.3955 Hg
0.1065 0.0936 0.8933 Hg
```

No. 2
Hg3HCl | GGA-PBE | relaxed

Results
Volume in Å³/f.u.: 120
DFT total energy in eV/atom: -1.281
Space-group type: C2/m (12)
ρ in g cm⁻³: 8.87

```
Hg3HCl
1.0
-3.2303 -6.1491 -6.8596
0.0763 -5.0599 -8.3482
2.6674 -6.2594 1.3448
Hg Cl H
6 2 2
Direct
0.2216 0.2216 0.1676 Hg
0.6730 0.6730 0.5147 Hg
0.3270 0.3270 0.4853 Hg
0.9692 0.9692 0.7236 Hg
0.7784 0.7784 0.8324 Hg
0.0308 0.0308 0.2764 Hg
0.8960 0.8960 0.1494 Cl
0.1040 0.1040 0.8506 Cl
0.5341 0.5341 0.2849 H
0.4659 0.4659 0.7151 H
```

No. 3
Hg3HCl8 | GGA-PBE | relaxed

Results
Volume in Å³/f.u.: 435
DFT total energy in eV/atom: -2.046
Space-group type: Cm (8)
ρ in g cm⁻³: 3.38

```
Hg3HCl8
1.0
-3.3057 4.0035 0.7793
-6.5625 -5.5444 0.6455
4.1119 -1.8005 9.0073
Cl Hg H
8 3 1
Direct
0.6548 0.0659 0.3095 Cl
0.8958 0.1649 0.7916 Cl
0.2978 0.3851 0.5956 Cl
0.4804 0.7623 0.9608 Cl
0.1098 0.7088 0.2196 Cl
0.5356 0.3624 0.0712 Cl
0.7073 0.6289 0.4147 Cl
0.2966 0.8868 0.5932 Cl
0.7745 0.1169 0.5490 Hg
0.5946 0.7001 0.1891 Hg
0.4170 0.3777 0.8339 Hg
0.2342 0.8098 0.4683 H
```

No. 4
HgHCl2 | GGA-PBE | relaxed

Results
Volume in Å³/f.u.: 113
DFT total energy in eV/atom: -1.732
Space-group type: P-1 (2)
ρ in g cm⁻³: 3.99

```
HgHCl2
1.0
-4.0974 -0.6318 0.2589
1.9329 -5.3166 -5.5809
1.1579 -2.2780 7.4019
H Hg Cl
2 2 4
Direct
0.7782 0.8376 0.0556 H
0.2774 0.3487 0.0479 H
0.7781 0.3427 0.5509 Hg
0.2773 0.8431 0.5524 Hg
0.8215 0.6134 0.3393 Cl
0.2338 0.5726 0.7640 Cl
0.3219 0.1130 0.3383 Cl
0.7332 0.0730 0.7650 Cl
```